No. 1
CeYTcRh: relaxed, PBE-GGA.

Calculated values
formation enthalpy at 0 K: -33.95 kJ per mole of atoms
D(E_F): 12.552 states/eV per cell
final energy: -7.88 eV per atom

a = 6.899 Å, b = 6.899 Å, c = 6.899 Å
α = 90.00°, β = 90.00°, γ = 90.00°
Space group F-43m (No. 216)
One atom of each set of equivalent atoms:
1 Ce 0.000 0.000 0.000 (multiplicity 4)
2 Y 0.000 0.000 0.500 (multiplicity 4)
3 Tc 0.250 0.250 0.750 (multiplicity 4)
4 Rh 0.250 0.250 0.250 (multiplicity 4)

---

No. 2
Nb3InTe: relaxed, PBE-GGA.

Calculated values
D(E_F): 8.996 states/eV per cell
polymorph energy (0 for the lowest one): 47.16 kJ/mol of atoms
final energy: -5.53 eV per atom

a = 5.070 Å, b = 5.070 Å, c = 5.070 Å
α = 90.00°, β = 90.00°, γ = 90.00°
Space group Pm-3m (No. 221)
One atom of each set of equivalent atoms:
1 Nb 0.000 0.000 0.500 (multiplicity 3)
2 In 0.000 0.000 0.000 (multiplicity 1)
3 Te 0.500 0.500 0.500 (multiplicity 1)

---

No. 3
K2GePbBr6: relaxed, PBE-GGA.

Calculated values
D(E_F): 0.000 states/eV per cell
final energy: -3.20 eV per atom

a = 7.9041 Å, b = 7.9041 Å, c = 20.5482 Å
α = 90.00°, β = 90.00°, γ = 120.00°
Space group R3 (No. 146, hexagonal axes)
One atom of each set of equivalent atoms:
1 K 0.0000 0.0000 0.0000 (multiplicity 3)
2 K 0.0000 0.0000 0.4995 (multiplicity 3)
3 Ge 0.0000 0.0000 0.2158 (multiplicity 3)
4 Pb 0.0000 0.0000 0.7154 (multiplicity 3)
5 Br 0.0126 0.4122 0.9504 (multiplicity 9)
6 Br 0.0758 0.7275 0.7889 (multiplicity 9)

---

No. 4
Er12Bi6Ru: relaxed, PBE-GGA.

Calculated values
formation enthalpy at 0 K: -42.40 kJ per mole of atoms
D(E_F): 35.902 states/eV per cell
final energy: -5.03 eV per atom

a = 13.1577 Å, b = 13.1577 Å, c = 12.0943 Å
α = 90.00°, β = 90.00°, γ = 120.00°
Space group R-3 (No. 148, hexagonal axes)
One atom of each set of equivalent atoms:
1 Er 0.0268 0.8468 0.3840 (multiplicity 18)
2 Er 0.0637 0.8769 0.8775 (multiplicity 18)
3 Bi 0.0420 0.7526 0.6368 (multiplicity 18)
4 Ru 0.0000 0.0000 0.0000 (multiplicity 3)

---

No. 5
BAsP2O: relaxed, PBE-GGA.

Calculated values
D(E_F): 2.916 states/eV per cell
polymorph energy (0 for the lowest one): 100.35 kJ/mol of atoms
final energy: -4.18 eV per atom

a = 4.741 Å, b = 4.741 Å, c = 3.577 Å
α = 90.00°, β = 90.00°, γ = 90.00°
Space group P4/mmm (No. 123)
One atom of each set of equivalent atoms:
1 B 0.000 0.000 0.000 (multiplicity 1)
2 As 0.500 0.500 0.500 (multiplicity 1)
3 P 0.000 0.500 0.500 (multiplicity 2)
4 O 0.500 0.500 0.000 (multiplicity 1)